(1)
First-principles (GGA-PBE) data for a relaxed structure of Pm6Rh2SeI3, as listed in Alexandria.

Calculated values
Space-group type: C2/m, No. 12
Formation energy without anion corrections (eV per atom): -1.07
ρ (g cm⁻³): 6.85
D(E_F) (states/eV/atom): 0.545

Cell: 7.3670 7.3670 8.2860 Å, 98.50 98.50 119.94°
Atoms (fractional coordinates):
1 Pm 0.9362 0.5811 0.8112
2 Pm 0.7068 0.7068 0.1877
3 Pm 0.0638 0.4189 0.1888
4 Pm 0.5811 0.9362 0.8112
5 Pm 0.2932 0.2932 0.8123
6 Pm 0.4189 0.0638 0.1888
7 Rh 0.3328 0.6672 0.0000
8 Rh 0.6672 0.3328 0.0000
9 Se 0.0000 0.0000 0.0000
10 I 0.1623 0.8377 0.5000
11 I 0.8377 0.1623 0.5000
12 I 0.5000 0.5000 0.5000


(2)
First-principles (GGA-PBE) data for a relaxed structure of Pm4RhSeI2, as listed in Alexandria.

Calculated values
Space-group type: P2/m, No. 10
Formation energy without anion corrections (eV per atom): -1.12
ρ (g cm⁻³): 6.85
D(E_F) (states/eV/atom): 0.683

Cell: 4.1333 7.6526 8.1293 Å, 106.80 90.00 90.00°
Atoms (fractional coordinates):
1 Pm 0.5000 0.2423 0.1943
2 Pm 0.5000 0.7577 0.8057
3 Pm 0.0000 0.2948 0.8114
4 Pm 0.0000 0.7052 0.1886
5 Rh 0.5000 0.5000 0.0000
6 Se 0.0000 0.0000 0.0000
7 I 0.5000 0.0000 0.5000
8 I 0.0000 0.5000 0.5000